Below is AsPSe2 after structural relaxation, with properties calculated at the GGA-PBE level.

The structure belongs to space group Immm (No. 71); the cell edges are 3.828, 4.064 and 13.002 Å and the angles 90.00°, 90.00° and 90.00°. Symmetry generates all atoms from As at (0.000, 0.000, 0.000), P at (0.000, 0.000, 0.500) and Se at (0.000, 0.500, 0.141).

The size of the total moment is 0.00 μB per formula unit. Its crystal system is orthorhombic. For the formation energy from raw total energies, the calculation gives 1.232 eV/f.u.

Below is AsP2Se after structural relaxation, with properties calculated at the GGA-PBE level.

The structure belongs to space group R3m (No. 160, hexagonal axes); the cell edges are 3.6295, 3.6295 and 19.0695 Å and the angles 90.00°, 90.00° and 120.00°. Symmetry generates all atoms from As at (0.0000, 0.0000, 0.0000), P at (0.0000, 0.0000, 0.4822), P at (0.0000, 0.0000, 0.7443) and Se at (0.0000, 0.0000, 0.2340).

The size of the total moment is 0.00 μB per formula unit. Its crystal system is trigonal. For the formation energy from raw total energies, the calculation gives 0.755 eV/f.u.

Number 1: energy above the most stable polymorph in this dataset 178 meV per atom. Number 2: energy above the most stable polymorph in this dataset 21 meV per atom.